(1)
The following is a PBEsol calculation of a relaxed ZrNiP4 crystal, from the Alexandria database.

The calculation puts the magnetic moment at 0.000 μB/f.u. The total energy is -6.29 eV per atom.

Unit cell a=6.966 b=6.966 c=6.966 alpha=90.00 beta=90.00 gamma=90.00
Space group F-43m (No. 216)
Symmetry-distinct sites (fractional):
Zr1 0.000 0.000 0.000 x4
Ni1 0.250 0.250 0.250 x4
P1 0.122 0.122 0.622 x16

---

(2)
The following is a PBEsol calculation of a relaxed RbCdRh3 crystal, from the Alexandria database.

The calculation puts the magnetic moment at 2.542 μB/f.u. The total energy is -3.81 eV per atom. The value obtained for the distance to the lowest polymorph of the same formula is 0 meV per atom.

Unit cell a=4.962 b=4.962 c=4.962 alpha=90.00 beta=90.00 gamma=90.00
Space group Pm-3m (No. 221)
Symmetry-distinct sites (fractional):
Rb1 0.000 0.000 0.000 x1
Cd1 0.500 0.500 0.500 x1
Rh1 0.000 0.500 0.500 x3

---

(3)
The following is a PBEsol calculation of a relaxed LiTi3Br crystal, from the Alexandria database.

The calculation puts the magnetic moment at 0.004 μB/f.u. The total energy is -5.22 eV per atom.

Unit cell a=4.667 b=4.667 c=4.667 alpha=90.00 beta=90.00 gamma=90.00
Space group Pm-3m (No. 221)
Symmetry-distinct sites (fractional):
Li1 0.000 0.000 0.000 x1
Ti1 0.000 0.500 0.500 x3
Br1 0.500 0.500 0.500 x1